DFT (GGA-PBE) results for a relaxed structure of In2IrBr.

Cell lengths 7.0178, 7.0178, 4.6887 Å; angles 70.46, 70.46, 25.70 degrees
Fractional coordinates of all 4 atoms:
In 0.9319 0.9319 0.0685
In 0.5681 0.5681 0.4315
Ir 0.2500 0.2500 0.2500
Br 0.7500 0.7500 0.7500

Computed properties:
energy above the most stable polymorph in this dataset = 371 meV per atom
raw formation energy = 0.261 eV per atom
energy = -3.7419 eV/atom
space-group type = Immm
magnetic moment = 0.00 μB per formula unit
calculated volume = 23.51 A^3/atom


DFT (GGA-PBE) results for a relaxed structure of CrFeOs2.

Cell lengths 4.5832, 4.5832, 4.5832 Å; angles 132.08, 132.08, 70.10 degrees
Last column: magnetic moment on the atom in μB.
Fractional coordinates of all 4 atoms:
Os 0.0000 0.0000 0.0000  -0.06
Os 0.2500 0.7500 0.5000  0.08
Cr 0.5000 0.5000 0.0000  -1.16
Fe 0.7500 0.2500 0.5000  1.65

Computed properties:
energy = -10.0610 eV/atom
space-group type = I-4m2
ΔE_f = 0.08 eV per atom
magnetic moment = 0.46 μB per formula unit
calculated volume = 13.00 A^3/atom


DFT (GGA-PBE) results for a relaxed structure of SmEu2Pb.

Cell lengths 5.2463, 4.9686, 4.9686 Å; angles 90.00, 90.00, 90.00 degrees
Last column: magnetic moment on the atom in μB.
Fractional coordinates of all 4 atoms:
Sm 0.5000 0.5000 0.5000  0.21
Eu 0.0000 0.0000 0.5000  6.93
Eu 0.0000 0.5000 0.0000  6.93
Pb 0.5000 0.0000 0.0000  -0.06

Computed properties:
energy above the most stable polymorph in this dataset = 0 meV per atom
energy = -7.5504 eV/atom
space-group type = P4/mmm
ΔE_f = -0.31 eV per atom
magnetic moment = 14.76 μB per formula unit
calculated volume = 32.38 A^3/atom


DFT (GGA-PBE) results for a relaxed structure of La3Pr8Sm2.

Cell lengths 5.8700, 7.8126, 11.2036 Å; angles 110.41, 90.07, 90.00 degrees
Fractional coordinates of all 13 atoms:
Pr 0.4992 0.6009 0.7851
Pr 0.4992 0.1842 0.7851
Pr 0.0009 0.8648 0.7297
Pr 0.5008 0.3991 0.2149
Pr 0.9991 0.1352 0.2703
Pr 0.9975 0.3247 0.6493
Pr 0.5008 0.8158 0.2149
Pr 0.0025 0.6753 0.3507
La 0.0000 0.2915 0.0000
La 0.0000 0.7085 0.0000
La 0.5000 0.0000 0.0000
Sm 0.4970 0.2416 0.4832
Sm 0.5030 0.7584 0.5168

Computed properties:
energy above the most stable polymorph in this dataset = 188 meV per atom
energy = -4.6016 eV/atom
space-group type = C2/m
ΔE_f = 0.20 eV per atom
magnetic moment = 0.00 μB per formula unit
calculated volume = 37.04 A^3/atom


DFT (GGA-PBE) results for a relaxed structure of BaHg2PdC.

Cell lengths 4.5571, 5.8502, 4.5571 Å; angles 90.00, 90.00, 90.00 degrees
Fractional coordinates of all 5 atoms:
C 0.0000 0.0000 0.0000
Pd 0.5000 0.5000 0.5000
Ba 0.0000 0.5000 0.0000
Hg 0.0000 0.0000 0.5000
Hg 0.5000 0.0000 0.0000

Computed properties:
energy = -2.7917 eV/atom
space-group type = P4/mmm
ΔE_f = 0.60 eV per atom
magnetic moment = 0.00 μB per formula unit
calculated volume = 24.30 A^3/atom


DFT (GGA-PBE) results for a relaxed structure of RbCa2SiIr.

Cell lengths 5.6835, 5.6835, 4.7071 Å; angles 90.00, 90.00, 90.00 degrees
Fractional coordinates of all 5 atoms:
Ir 0.0000 0.0000 0.0000
Rb 0.5000 0.5000 0.5000
Si 0.0000 0.0000 0.5000
Ca 0.5000 0.0000 0.0000
Ca 0.0000 0.5000 0.0000

Computed properties:
raw formation energy = -0.206 eV per atom
energy = -4.0570 eV/atom
space-group type = P4/mmm
magnetic moment = 0.40 μB per formula unit
calculated volume = 30.41 A^3/atom


DFT (GGA-PBE) results for a relaxed structure of SrSbAu3.

Cell lengths 5.5664, 5.5664, 5.5664 Å; angles 90.00, 90.00, 90.00 degrees
Fractional coordinates of all 5 atoms:
Sr 0.0000 0.0000 0.0000
Sb 0.5000 0.5000 0.5000
Au 0.5000 0.0000 0.0000
Au 0.0000 0.5000 0.0000
Au 0.0000 0.0000 0.5000

Computed properties:
energy above the most stable polymorph in this dataset = 1237 meV per atom
raw formation energy = 0.730 eV per atom
energy = -2.3972 eV/atom
space-group type = Pm-3m
magnetic moment = 0.00 μB per formula unit
calculated volume = 34.49 A^3/atom


DFT (GGA-PBE) results for a relaxed structure of Ce2MgH.

Cell lengths 3.1776, 3.1776, 9.4538 Å; angles 80.28, 80.28, 60.04 degrees
Last column: magnetic moment on the atom in μB.
Fractional coordinates of all 4 atoms:
Ce 0.0588 0.0588 0.8240  0.05
Ce 0.2747 0.2747 0.1753  0.20
H 0.6664 0.6664 0.0009  0.00
Mg 0.5002 0.5002 0.4998  0.00

Computed properties:
energy above the most stable polymorph in this dataset = 0 meV per atom
energy = -4.3161 eV/atom
space-group type = Cm
magnetic moment = 0.31 μB per formula unit
calculated volume = 20.28 A^3/atom


DFT (GGA-PBE) results for a relaxed structure of SrTlSi2.

Cell lengths 5.4467, 5.4467, 6.1313 Å; angles 66.70, 66.70, 41.52 degrees
Fractional coordinates of all 4 atoms:
Sr 0.7500 0.7500 0.7500
Si 0.0082 0.0082 0.1188
Si 0.4918 0.4918 0.3812
Tl 0.2500 0.2500 0.2500

Computed properties:
energy above the most stable polymorph in this dataset = 87 meV per atom
raw formation energy = -0.028 eV per atom
energy = -3.7519 eV/atom
space-group type = C2/m
magnetic moment = 0.00 μB per formula unit
calculated volume = 27.31 A^3/atom


DFT (GGA-PBE) results for a relaxed structure of MnTlZn2.

Cell lengths 4.8214, 4.8214, 5.2472 Å; angles 80.73, 80.73, 37.89 degrees
Last column: magnetic moment on the atom in μB.
Fractional coordinates of all 4 atoms:
Tl 0.2500 0.2500 0.2500  -0.02
Zn 0.4876 0.4876 0.5507  -0.01
Zn 0.0124 0.0124 0.9493  -0.01
Mn 0.7500 0.7500 0.7500  3.62

Computed properties:
energy above the most stable polymorph in this dataset = 76 meV per atom
energy = -3.2362 eV/atom
space-group type = C2/m
ΔE_f = 0.28 eV per atom
magnetic moment = 3.76 μB per formula unit
calculated volume = 18.46 A^3/atom


DFT (GGA-PBE) results for a relaxed structure of TaGeBr2.

Cell lengths 9.3973, 9.3973, 7.1285 Å; angles 48.77, 48.77, 90.00 degrees
Last column: magnetic moment on the atom in μB.
Fractional coordinates of all 8 atoms:
Br 0.3750 0.2315 0.7500  0.02
Br 0.7685 0.1250 0.2500  0.02
Br 0.8750 0.0185 0.7500  0.02
Br 0.9815 0.6250 0.2500  0.02
Ge 0.5000 0.5000 0.0000  0.04
Ge 0.2500 0.7500 0.5000  0.04
Ta 0.7500 0.2500 0.5000  0.62
Ta 0.0000 0.0000 0.0000  0.63

Computed properties:
energy above the most stable polymorph in this dataset = 178 meV per atom
raw formation energy = 0.199 eV per atom
energy = -4.7550 eV/atom
space-group type = I-42d
magnetic moment = 1.04 μB per formula unit
calculated volume = 28.49 A^3/atom


DFT (GGA-PBE) results for a relaxed structure of KAs2PtBr.

Cell lengths 4.7070, 4.7070, 8.9500 Å; angles 90.00, 90.00, 90.00 degrees
Fractional coordinates of all 5 atoms:
Pt 0.0000 0.0000 0.0000
As 0.0000 0.5000 0.0000
As 0.5000 0.0000 0.0000
K 0.5000 0.5000 0.5000
Br 0.0000 0.0000 0.5000

Computed properties:
energy above the most stable polymorph in this dataset = 0 meV per atom
raw formation energy = -0.215 eV per atom
energy = -3.8368 eV/atom
space-group type = P4/mmm
magnetic moment = 0.00 μB per formula unit
calculated volume = 39.66 A^3/atom


> What is the magnetic moment in the third record?

14.76 μB per formula unit


> What is the formula in the twelfth record?

KAs2PtBr


> Among the records above, which one has the highest calculated volume?

KAs2PtBr